Material: Ac3Pm3ScTe8
Method: DFT, PBE
State: relaxed

Formation energy from raw total energies   -1.429 eV per atom
DOS(E_F)   8.19 states/eV/f.u.
Electronic total energy   -79.48 eV/cell

Lattice parameters (Å, degrees): 9.0485 9.0496 9.2149 119.40 90.00 120.01
Last column: nearest neighbours and their distance in Å.
Positions (direct):
Te  0.7625  0.0105  0.2731  1 Sc 3.07, 2 Pm 3.16, 2 Ac 3.31
Pm  0.5000  0.5000  0.5000  6 Te 3.16
Pm  0.5000  0.0000  0.5000  6 Te 3.15-3.16
Te  0.7443  0.4883  0.7330  3 Pm 3.15-3.16, 3 Ac 3.30-3.31
Sc  0.0000  0.0000  0.5000  6 Te 3.06-3.07
Te  0.2557  0.5117  0.2670  3 Pm 3.15-3.16, 3 Ac 3.30-3.31
Te  0.7521  0.9896  0.7269  1 Sc 3.06, 2 Pm 3.16, 2 Ac 3.31
Pm  0.0000  0.5000  0.5000  6 Te 3.15-3.16
Te  0.2375  0.9895  0.7269  1 Sc 3.07, 2 Pm 3.16, 2 Ac 3.31
Ac  0.5000  0.5000  0.0000  6 Te 3.31
Te  0.2374  0.4748  0.7269  1 Sc 3.07, 2 Pm 3.16, 2 Ac 3.31
Te  0.7626  0.5252  0.2731  1 Sc 3.07, 2 Pm 3.16, 2 Ac 3.31
Ac  0.0000  0.0000  0.0000  6 Te 3.31
Ac  0.0000  0.5000  0.0000  6 Te 3.30-3.31
Te  0.2479  0.0104  0.2731  1 Sc 3.06, 2 Pm 3.16, 2 Ac 3.31